Entry 1:
Computed, not measured: an optimized crystal structure of Pr12In3Cu at the PBE level of DFT.

Cell lengths 5.011, 5.011, 19.827 Å; angles 90.00, 90.00, 90.00 degrees
Positions (direct):
1 Pr 0.500 0.000 0.372
2 Pr 0.500 0.500 0.500
3 Pr 0.000 0.500 0.882
4 Pr 0.500 0.000 0.118
5 Pr 0.000 0.500 0.628
6 Pr 0.500 0.000 0.882
7 Pr 0.500 0.500 0.000
8 Pr 0.000 0.500 0.372
9 Pr 0.500 0.500 0.756
10 Pr 0.500 0.000 0.628
11 Pr 0.500 0.500 0.244
12 Pr 0.000 0.500 0.118
13 Cu 0.000 0.000 0.000
14 In 0.000 0.000 0.755
15 In 0.000 0.000 0.500
16 In 0.000 0.000 0.245

V	497.9	Å³ per cell
formation enthalpy at 0 K	-0.17	eV/atom
DOS at the Fermi energy	1.410	states/eV/atom


Entry 2:
Computed, not measured: an optimized crystal structure of CdSnGe at the PBE level of DFT.

Cell lengths 4.082, 4.082, 5.245 Å; angles 90.00, 90.00, 120.00 degrees
Positions (direct):
1 Ge 0.667 0.333 0.321
2 Sn 0.000 0.000 0.040
3 Cd 0.333 0.667 0.639

V	75.7	Å³ per cell
formation enthalpy at 0 K	0.14	eV/atom
DOS at the Fermi energy	0.278	states/eV/atom
offset from the most stable computed form	0.0000	eV/atom


Entry 3:
Computed, not measured: an optimized crystal structure of BiPdPt at the PBE level of DFT.

Cell lengths 4.531, 4.531, 4.531 Å; angles 60.00, 60.00, 60.00 degrees
Positions (direct):
1 Pt 0.250 0.250 0.250
2 Bi 0.000 0.000 0.000
3 Pd 0.500 0.500 0.500

V	65.8	Å³ per cell
formation enthalpy at 0 K	-0.12	eV/atom
DOS at the Fermi energy	1.117	states/eV/atom
offset from the most stable computed form	0.0900	eV/atom


Among the records above, which one has the highest formation enthalpy at 0 K?
CdSnGe